(1)
## Mo2HIr (GGA-PBEsol)

Data for an optimized crystal structure of Mo2HIr.

Computed properties:
Total DFT energy (no corrections) (eV/f.u.): -34.1
Crystal system: tetragonal
M_tot (μB per atom): 0.000

abc: 6.191 6.191 6.191
angles: 136.30 136.30 63.51
Positions (direct):
Mo 0.375 0.245 0.370
Mo 0.755 0.125 0.130
Mo 0.875 0.005 0.630
Mo 0.995 0.625 0.870
H 0.000 0.000 0.000
H 0.750 0.250 0.500
Ir 0.250 0.750 0.500
Ir 0.500 0.500 0.000

(2)
## MoH3Ir (GGA-PBEsol)

Data for an optimized crystal structure of MoH3Ir.

Computed properties:
Total DFT energy (no corrections) (eV/f.u.): -28.4
Crystal system: cubic
M_tot (μB per atom): 0.067

abc: 3.410 3.410 3.410
angles: 90.00 90.00 90.00
Positions (direct):
Mo 0.000 0.000 0.000
H 0.000 0.000 0.500
H 0.000 0.500 0.000
H 0.500 0.000 0.000
Ir 0.500 0.500 0.500

(3)
## MoHIr3 (GGA-PBEsol)

Data for an optimized crystal structure of MoHIr3.

Computed properties:
Total DFT energy (no corrections) (eV/f.u.): -44.7
Crystal system: cubic
M_tot (μB per atom): 0.025

abc: 3.905 3.905 3.905
angles: 90.00 90.00 90.00
Positions (direct):
Mo 0.000 0.000 0.000
H 0.500 0.500 0.500
Ir 0.000 0.500 0.500
Ir 0.500 0.000 0.500
Ir 0.500 0.500 0.000

(4)
## Mo3HIr (GGA-PBEsol)

Data for an optimized crystal structure of Mo3HIr.

Computed properties:
Total DFT energy (no corrections) (eV/f.u.): -48.8
Crystal system: cubic
M_tot (μB per atom): 0.000

abc: 3.948 3.948 3.948
angles: 90.00 90.00 90.00
Positions (direct):
Mo 0.000 0.000 0.500
Mo 0.000 0.500 0.000
Mo 0.500 0.000 0.000
H 0.000 0.000 0.000
Ir 0.500 0.500 0.500

(5)
## Mo2HIrPd (GGA-PBEsol)

Data for an optimized crystal structure of Mo2HIrPd.

Computed properties:
Total DFT energy (no corrections) (eV/f.u.): -38.0
Crystal system: tetragonal
M_tot (μB per atom): 0.000

abc: 4.857 4.857 3.064
angles: 90.00 90.00 90.00
Positions (direct):
Mo 0.000 0.500 0.000
Mo 0.500 0.000 0.000
H 0.000 0.000 0.500
Ir 0.000 0.000 0.000
Pd 0.500 0.500 0.500

(6)
## NiHIr2N (GGA-PBEsol)

Data for an optimized crystal structure of NiHIr2N.

Computed properties:
Total DFT energy (no corrections) (eV/f.u.): -32.3
Crystal system: tetragonal
M_tot (μB per atom): 0.110

abc: 4.332 4.332 2.628
angles: 90.00 90.00 90.00
Positions (direct):
Ni 0.000 0.000 0.000
H 0.500 0.500 0.500
Ir 0.000 0.500 0.500
Ir 0.500 0.000 0.500
N 0.500 0.500 0.000

(7)
## HIrNO2 (GGA-PBEsol)

Data for an optimized crystal structure of HIrNO2.

Computed properties:
Total DFT energy (no corrections) (eV/f.u.): -26.0
Crystal system: tetragonal
M_tot (μB per atom): 0.000

abc: 3.777 3.777 2.615
angles: 90.00 90.00 90.00
Positions (direct):
H 0.000 0.000 0.000
Ir 0.500 0.500 0.500
N 0.000 0.000 0.500
O 0.000 0.500 0.000
O 0.500 0.000 0.000

(8)
## HIrN2O (GGA-PBEsol)

Data for an optimized crystal structure of HIrN2O.

Computed properties:
Total DFT energy (no corrections) (eV/f.u.): -26.9
Crystal system: tetragonal
M_tot (μB per atom): 0.000

abc: 3.047 3.047 3.974
angles: 90.00 90.00 90.00
Positions (direct):
H 0.000 0.000 0.000
Ir 0.500 0.500 0.500
N 0.000 0.500 0.000
N 0.500 0.000 0.000
O 0.000 0.000 0.500

(9)
## TlHIrN2 (GGA-PBEsol)

Data for an optimized crystal structure of TlHIrN2.

Computed properties:
Total DFT energy (no corrections) (eV/f.u.): -22.0
Crystal system: tetragonal
M_tot (μB per atom): 0.000

abc: 4.288 4.288 3.226
angles: 90.00 90.00 90.00
Positions (direct):
Tl 0.000 0.000 0.000
H 0.000 0.000 0.500
Ir 0.500 0.500 0.500
N 0.000 0.500 0.000
N 0.500 0.000 0.000

(10)
## NaSbH2Ir (GGA-PBEsol)

Data for an optimized crystal structure of NaSbH2Ir.

Computed properties:
Total DFT energy (no corrections) (eV/f.u.): -15.8
Crystal system: tetragonal
M_tot (μB per atom): 0.073

abc: 3.786 3.786 5.819
angles: 90.00 90.00 90.00
Positions (direct):
Na 0.000 0.000 0.000
Sb 0.000 0.000 0.500
H 0.000 0.500 0.500
H 0.500 0.000 0.500
Ir 0.500 0.500 0.000

(11)
## Nb2H2Ir (GGA-PBEsol)

Data for an optimized crystal structure of Nb2H2Ir.

Computed properties:
Total DFT energy (no corrections) (eV/f.u.): -40.0
Crystal system: tetragonal
M_tot (μB per atom): 0.000

abc: 6.734 6.734 6.734
angles: 155.05 155.05 35.58
Positions (direct):
Nb 0.146 0.146 0.000
Nb 0.854 0.854 0.000
H 0.250 0.750 0.500
H 0.750 0.250 0.500
Ir 0.500 0.500 0.000

(12)
## Nb3HIr (GGA-PBEsol)

Data for an optimized crystal structure of Nb3HIr.

Computed properties:
Total DFT energy (no corrections) (eV/f.u.): -46.5
Crystal system: cubic
M_tot (μB per atom): 0.000

abc: 4.104 4.104 4.104
angles: 90.00 90.00 90.00
Positions (direct):
Nb 0.000 0.000 0.500
Nb 0.000 0.500 0.000
Nb 0.500 0.000 0.000
H 0.000 0.000 0.000
Ir 0.500 0.500 0.500

Please write out number 3 again, unchanged.
## MoHIr3 (GGA-PBEsol)

Data for an optimized crystal structure of MoHIr3.

Computed properties:
Total DFT energy (no corrections) (eV/f.u.): -44.7
Crystal system: cubic
M_tot (μB per atom): 0.025

abc: 3.905 3.905 3.905
angles: 90.00 90.00 90.00
Positions (direct):
Mo 0.000 0.000 0.000
H 0.500 0.500 0.500
Ir 0.000 0.500 0.500
Ir 0.500 0.000 0.500
Ir 0.500 0.500 0.000